Entry 1:
A plane-wave DFT calculation with GGA-PBE was carried out for a geometry-optimized La4Sm6Tm structure.

The total magnetic moment is 0.00 μB/f.u. As for the energy above the most stable polymorph in this dataset: 0.0 meV/atom. The energy relative to the elements comes out at 2.79 eV per formula unit. As for the total energy: -99.40 eV per cell.

The space group is I-42m (No. 121) and the conventional cell measures 6.722, 6.722 and 17.117 Å, with angles of 90.00, 90.00 and 90.00 degrees. The inequivalent atoms are La at (0.167, 0.167, 0.372), Sm at (0.000, 0.500, 0.000), Sm at (0.186, 0.186, 0.176) and Tm at (0.000, 0.000, 0.000).



Entry 2:
A plane-wave DFT calculation with GGA-PBE was carried out for a geometry-optimized La2Sm4Tm5 structure.

The total magnetic moment is 0.00 μB/f.u. As for the energy above the most stable polymorph in this dataset: 0.0 meV/atom. The energy relative to the elements comes out at 1.32 eV per formula unit. As for the total energy: -99.53 eV per cell.

The space group is C2/m (No. 12) and the conventional cell measures 24.032, 3.525 and 8.708 Å, with angles of 90.00, 94.12 and 90.00 degrees. The inequivalent atoms are La at (0.227, 0.000, 0.324), Sm at (0.042, 0.500, 0.840), Sm at (0.087, 0.000, 0.195), Tm at (0.000, 0.000, 0.500), Tm at (0.128, 0.500, 0.543) and Tm at (0.185, 0.500, 0.973).